Entry 1:
# Co4CuPb

A relaxed Co4CuPb crystal (GGA-PBE, the Alexandria database).

a b c (Å): 4.8635 4.8635 4.8635
angles (deg): 60.00 60.00 60.00
With the nearest neighbours (Å) after each atom.
Fractional coordinates of all 6 atoms:
1 Co 0.3758 0.3758 0.3758  6 Co 2.42-2.45
2 Co 0.3758 0.3758 0.8725  6 Co 2.42-2.45
3 Co 0.3758 0.8725 0.3758  6 Co 2.42-2.45
4 Co 0.8725 0.3758 0.3758  6 Co 2.42-2.45
5 Cu 0.7500 0.7500 0.7500  12 Co 2.85, 4 Pb 2.98
6 Pb 0.0000 0.0000 0.0000  12 Co 2.85, 4 Cu 2.98

Output
- total moment (μB per formula unit) = 5.763
- mass density (g/cm3) = 10.34
- calculated volume (Å³ per cell) = 81.3
- final energy (eV/cell) = -33.99
- Fermi-level density of states (states/eV per cell) = 8.2
- E_form (eV/f.u.) = 2.24
- crystal system = cubic

=====

Entry 2:
# Dy4MgCd

A relaxed Dy4MgCd crystal (GGA-PBE, the Alexandria database).

a b c (Å): 5.1317 5.1317 7.4554
angles (deg): 90.00 90.00 90.00
With the nearest neighbours (Å) after each atom.
Fractional coordinates of all 6 atoms:
1 Dy 0.0000 0.5000 0.2424  2 Cd 3.14, 2 Mg 3.21
2 Dy 0.0000 0.5000 0.7576  2 Cd 3.14, 2 Mg 3.21
3 Dy 0.5000 0.0000 0.2424  2 Cd 3.14, 2 Mg 3.21
4 Dy 0.5000 0.0000 0.7576  2 Cd 3.14, 2 Mg 3.21
5 Mg 0.0000 0.0000 0.5000  8 Dy 3.21
6 Cd 0.5000 0.5000 0.0000  8 Dy 3.14

Output
- total moment (μB per formula unit) = 0.000
- mass density (g/cm3) = 6.65
- calculated volume (Å³ per cell) = 196.3
- final energy (eV/cell) = -19.38
- Fermi-level density of states (states/eV per cell) = 8.5
- E_form (eV/f.u.) = 1.53
- crystal system = tetragonal

=====

Entry 3:
# OsRh3Br

A relaxed OsRh3Br crystal (GGA-PBE, the Alexandria database).

a b c (Å): 4.7589 4.7589 4.7589
angles (deg): 90.00 90.00 90.00
With the nearest neighbours (Å) after each atom.
Fractional coordinates of all 5 atoms:
1 Os 0.0000 0.0000 0.0000  6 Rh 2.38
2 Rh 0.0000 0.0000 0.5000  2 Os 2.38
3 Rh 0.0000 0.5000 0.0000  2 Os 2.38
4 Rh 0.5000 0.0000 0.0000  2 Os 2.38
5 Br 0.5000 0.5000 0.5000  12 Rh 3.37

Output
- total moment (μB per formula unit) = 0.000
- mass density (g/cm3) = 8.92
- energy above the most stable polymorph in this dataset (eV per atom) = 0.000
- calculated volume (Å³ per cell) = 107.8
- final energy (eV/cell) = -28.29
- Fermi-level density of states (states/eV per cell) = 6.8
- formation energy from raw total energies (eV per atom) = 1.334
- crystal system = cubic

=====

Entry 4:
# Tc2Ni

A relaxed Tc2Ni crystal (GGA-PBE, the Alexandria database).

a b c (Å): 5.9950 5.9950 5.9950
angles (deg): 154.41 154.41 36.51
With the nearest neighbours (Å) after each atom.
Fractional coordinates of all 3 atoms:
1 Tc 0.1623 0.1623 0.0000  4 Ni 2.63, 8 Tc 2.66-2.74
2 Tc 0.8377 0.8377 0.0000  4 Ni 2.63, 8 Tc 2.66-2.74
3 Ni 0.5000 0.5000 0.0000  8 Tc 2.63, 4 Ni 2.66

Output
- total moment (μB per formula unit) = 0.000
- mass density (g/cm3) = 10.53
- energy above the most stable polymorph in this dataset (eV per atom) = 0.154
- calculated volume (Å³ per cell) = 40.1
- final energy (eV/cell) = -26.26
- Fermi-level density of states (states/eV per cell) = 3.2
- E_form (eV/f.u.) = 0.25
- crystal system = tetragonal

=====

Entry 5:
# AcTaTcO6

A relaxed AcTaTcO6 crystal (GGA-PBE, the Alexandria database).

a b c (Å): 5.0343 5.0343 9.9901
angles (deg): 90.00 90.00 90.00
With the nearest neighbours (Å) after each atom.
Fractional coordinates of all 18 atoms:
1 Ac 0.0000 0.0000 0.0000  6 O 2.39-2.55
2 Ac 0.5000 0.5000 0.5000  6 O 2.39-2.55
3 Ta 0.0000 0.0000 0.6647  6 O 2.00-2.06
4 Ta 0.5000 0.5000 0.1647  6 O 2.00-2.06
5 Tc 0.0000 0.0000 0.3277  6 O 2.05-2.08
6 Tc 0.5000 0.5000 0.8277  6 O 2.05-2.08
7 O 0.1650 0.1650 0.4955  1 Tc 2.05, 1 Ta 2.06
8 O 0.2140 0.2140 0.7949  1 Ta 2.00, 1 Tc 2.06
9 O 0.2199 0.2199 0.1910  1 Ta 2.01, 1 Tc 2.08
10 O 0.2801 0.7199 0.6910  1 Ta 2.01, 1 Tc 2.08
11 O 0.2860 0.7140 0.2949  1 Ta 2.00, 1 Tc 2.06
12 O 0.3350 0.6650 0.9955  1 Tc 2.05, 1 Ta 2.06
13 O 0.6650 0.3350 0.9955  1 Tc 2.05, 1 Ta 2.06
14 O 0.7140 0.2860 0.2949  1 Ta 2.00, 1 Tc 2.06
15 O 0.7199 0.2801 0.6910  1 Ta 2.01, 1 Tc 2.08
16 O 0.7801 0.7801 0.1910  1 Ta 2.01, 1 Tc 2.08
17 O 0.7860 0.7860 0.7949  1 Ta 2.00, 1 Tc 2.06
18 O 0.8350 0.8350 0.4955  1 Tc 2.05, 1 Ta 2.06

Output
- total moment (μB per formula unit) = 3.000
- mass density (g/cm3) = 7.90
- calculated volume (Å³ per cell) = 253.2
- final energy (eV/cell) = -155.45
- formation energy from raw total energies (eV per atom) = -2.405
- crystal system = tetragonal

=====

Entry 6:
# LiCa2Ga4Ge3

A relaxed LiCa2Ga4Ge3 crystal (GGA-PBE, the Alexandria database).

a b c (Å): 4.3705 4.3705 11.0317
angles (deg): 90.00 90.00 90.00
With the nearest neighbours (Å) after each atom.
Fractional coordinates of all 10 atoms:
1 Li 0.0000 0.0000 0.0000  4 Ga 2.64
2 Ca 0.0000 0.5000 0.7513  8 Ga 3.34-3.53, 6 Ge 3.34-3.51, 2 Li 3.51
3 Ca 0.5000 0.0000 0.2487  8 Ga 3.34-3.53, 6 Ge 3.34-3.51, 2 Li 3.51
4 Ga 0.0000 0.0000 0.5000  4 Ge 2.65
5 Ga 0.0000 0.5000 0.1343  3 Ge 2.54-2.64, 2 Li 2.64
6 Ga 0.5000 0.0000 0.8657  3 Ge 2.54-2.64, 2 Li 2.64
7 Ga 0.5000 0.5000 0.5000  4 Ge 2.65
8 Ge 0.0000 0.5000 0.3642  5 Ga 2.54-2.65
9 Ge 0.5000 0.0000 0.6358  5 Ga 2.54-2.65
10 Ge 0.5000 0.5000 0.0000  4 Ga 2.64

Output
- total moment (μB per formula unit) = 0.000
- mass density (g/cm3) = 4.60
- calculated volume (Å³ per cell) = 210.7
- final energy (eV/cell) = -34.81
- Fermi-level density of states (states/eV per cell) = 5.4
- E_form (eV/f.u.) = -2.94
- crystal system = tetragonal

=====

Entry 7:
# Cd2SBr

A relaxed Cd2SBr crystal (GGA-PBE, the Alexandria database).

a b c (Å): 5.0201 5.0201 5.0201
angles (deg): 60.00 60.00 60.00
With the nearest neighbours (Å) after each atom.
Fractional coordinates of all 4 atoms:
1 Cd 0.2500 0.2500 0.2500  4 S 3.07, 4 Br 3.07
2 Cd 0.7500 0.7500 0.7500  4 S 3.07, 4 Br 3.07
3 S 0.0000 0.0000 0.0000  8 Cd 3.07
4 Br 0.5000 0.5000 0.5000  8 Cd 3.07

Output
- total moment (μB per formula unit) = 0.000
- mass density (g/cm3) = 6.25
- energy above the most stable polymorph in this dataset (eV per atom) = 0.298
- calculated volume (Å³ per cell) = 89.5
- final energy (eV/cell) = -8.03
- Fermi-level density of states (states/eV per cell) = 1.4
- formation energy from raw total energies (eV per atom) = -0.100
- crystal system = cubic

=====

Entry 8:
# Cs2KNaAu

A relaxed Cs2KNaAu crystal (GGA-PBE, the Alexandria database).

a b c (Å): 7.1746 7.1746 6.0539
angles (deg): 90.00 90.00 90.00
With the nearest neighbours (Å) after each atom.
Fractional coordinates of all 5 atoms:
1 Cs 0.0000 0.5000 0.0000  2 Au 3.59
2 Cs 0.5000 0.0000 0.0000  2 Au 3.59
3 K 0.0000 0.0000 0.5000  8 Cs 4.69, 4 Na 5.07
4 Na 0.5000 0.5000 0.5000  2 Au 3.03
5 Au 0.5000 0.5000 0.0000  2 Na 3.03

Output
- total moment (μB per formula unit) = 0.143
- mass density (g/cm3) = 2.80
- energy above the most stable polymorph in this dataset (eV per atom) = 0.014
- calculated volume (Å³ per cell) = 311.6
- final energy (eV/cell) = -7.92
- Fermi-level density of states (states/eV per cell) = 3.9
- E_form (eV/f.u.) = -0.52
- crystal system = tetragonal

=====

The highest final energy belongs to which entry? Cs2KNaAu